# BaAgSe

A relaxed structure of BaAgSe (PBE, Alexandria via LeMat-Bulk).

a = 4.614 Å, b = 4.707 Å, c = 9.759 Å
α = 96.70°, β = 100.79°, γ = 90.28°
Fractional coordinates of all 6 atoms:
Ba (0.173, 0.204, 0.309)
Ba (0.827, 0.796, 0.691)
Ag (0.440, 0.214, 0.921)
Ag (0.560, 0.786, 0.079)
Se (0.309, 0.299, 0.654)
Se (0.691, 0.701, 0.346)

Properties
The distance to the lowest polymorph of the same formula is 0 meV per atom. As for the formation energy without anion corrections: -1072 meV/atom.